This record from the Alexandria database describes an optimized crystal structure of Np2ZnNiO8. The functional is GGA+U.

```
Np2ZnNiO8
1.0
-3.305 3.305 3.559
3.305 -3.305 3.559
3.305 3.305 -3.559
Np Zn Ni O
2 1 1 8
Cartesian
0.000 0.000 0.000 Np
0.000 3.305 1.780 Np
3.305 0.000 1.780 Zn
0.000 0.000 3.559 Ni
2.006 0.000 0.315 O
4.604 0.000 0.315 O
3.305 2.017 -1.456 O
3.305 -1.299 3.245 O
0.000 1.288 2.104 O
3.305 1.299 3.245 O
2.017 3.305 1.456 O
1.288 0.000 5.015 O
```

Values from the calculation:
total DFT energy (no corrections)	-94.75	eV/cell
symmetry	I-4m2 (119)

This record from the Alexandria database describes an optimized crystal structure of NpZnNi2O6. The functional is GGA+U.

```
NpZnNi2O6
1.0
5.952 0.000 0.000
0.000 5.952 0.000
0.000 0.000 4.069
Np Zn Ni O
1 1 2 6
Cartesian
0.000 0.000 0.000 Np
2.976 2.976 4.054 Zn
0.000 2.976 0.014 Ni
2.976 0.000 0.014 Ni
0.000 0.000 2.035 O
1.451 1.451 0.003 O
1.451 4.501 0.003 O
2.976 2.976 2.024 O
4.501 1.451 0.003 O
4.501 4.501 0.003 O
```

Values from the calculation:
total DFT energy (no corrections)	-61.85	eV/cell
symmetry	P4mm (99)

This record from the Alexandria database describes an optimized crystal structure of NpZn2NiO6. The functional is GGA+U.

```
NpZn2NiO6
1.0
5.074 -4.659 0.000
5.074 4.659 0.000
-0.982 0.000 5.330
Np Zn Ni O
2 4 2 12
Cartesian
4.338 2.424 3.998 Np
4.829 -2.424 1.333 Np
1.156 0.849 4.342 Zn
1.647 -0.849 1.677 Zn
7.519 0.849 3.653 Zn
8.010 -0.849 0.988 Zn
4.829 0.794 1.333 Ni
4.338 -0.794 3.998 Ni
1.170 0.824 0.733 O
3.599 2.323 2.116 O
0.679 -0.824 3.398 O
3.100 0.795 4.696 O
6.058 2.323 0.549 O
3.591 -0.795 2.031 O
5.576 0.795 3.299 O
3.108 -2.323 4.781 O
6.067 -0.795 0.634 O
8.487 0.824 1.933 O
5.567 -2.323 3.214 O
7.996 -0.824 4.598 O
```

Values from the calculation:
total DFT energy (no corrections)	-133.36	eV/cell
symmetry	C2/c (15)

This record from the Alexandria database describes an optimized crystal structure of NpZnNiO6. The functional is GGA+U.

```
NpZnNiO6
1.0
5.185 0.000 0.000
-2.592 4.490 0.000
0.000 0.000 9.134
Np Zn Ni O
2 2 2 12
Cartesian
0.000 2.993 2.283 Np
2.592 1.497 6.850 Np
0.000 0.000 0.000 Zn
0.000 0.000 4.567 Zn
0.000 2.993 6.850 Ni
2.592 1.497 2.283 Ni
-0.870 1.536 1.197 O
-1.697 2.968 3.370 O
0.870 1.536 3.370 O
-0.827 4.475 1.197 O
1.765 0.015 5.764 O
0.895 1.522 7.936 O
1.697 2.968 1.197 O
0.827 4.475 3.370 O
3.419 0.015 7.936 O
1.722 2.954 5.764 O
4.289 1.522 5.764 O
3.462 2.954 7.936 O
```

Values from the calculation:
total DFT energy (no corrections)	-122.84	eV/cell
symmetry	P-31c (163)

This record from the Alexandria database describes an optimized crystal structure of ZrNpNiO6. The functional is GGA+U.

```
ZrNpNiO6
1.0
5.247 0.000 0.000
-2.623 4.544 0.000
0.000 0.000 9.500
Zr Np Ni O
2 2 2 12
Cartesian
0.000 0.000 0.000 Zr
0.000 0.000 4.750 Zr
0.000 3.029 2.375 Np
2.623 1.515 7.125 Np
0.000 3.029 7.125 Ni
2.623 1.515 2.375 Ni
-0.864 1.521 1.236 O
-1.738 3.035 3.514 O
0.864 1.521 3.514 O
-0.874 4.531 1.236 O
1.749 0.012 5.986 O
0.885 1.508 8.264 O
1.738 3.035 1.236 O
0.874 4.531 3.514 O
3.498 0.012 8.264 O
1.760 3.023 5.986 O
4.361 1.508 5.986 O
3.487 3.023 8.264 O
```

Values from the calculation:
total DFT energy (no corrections)	-153.16	eV/cell
symmetry	P-31c (163)